# Li2CuF4

An optimized crystal structure of Li2CuF4 (PBEsol, Alexandria via LeMat-Bulk).

Values from the calculation:
energy	-4.6083	eV per atom
crystal system	monoclinic
volume	10.1	Å³/atom

Cell: 5.6083 5.2272 5.5036 Å, 90.00 119.13 90.00°
With the nearest neighbours (Å) after each atom.
Fractional positions:
Li (0.0000, 0.2027, 0.0000)  5 F 1.89-2.10
Li (0.0000, 0.7973, 0.5000)  5 F 1.89-2.10
Li (0.2781, 0.2658, 0.5641)  5 F 1.94-2.06
Li (0.2781, 0.7342, 0.0641)  5 F 1.94-2.06
Cu (0.5656, 0.2572, 0.1209)  4 F 1.90-1.93
Cu (0.5656, 0.7428, 0.6209)  4 F 1.90-1.93
F (0.2102, 0.4019, 0.8773)  3 Li 1.92-2.06, 1 Cu 1.93
F (0.2102, 0.5981, 0.3773)  3 Li 1.92-2.06, 1 Cu 1.93
F (0.3920, 0.0876, 0.3037)  1 Cu 1.92, 2 Li 2.05-2.10
F (0.3920, 0.9124, 0.8037)  1 Cu 1.92, 2 Li 2.05-2.10
F (0.6627, 0.3792, 0.8507)  2 Li 1.89-2.04, 1 Cu 1.92
F (0.6627, 0.6208, 0.3507)  2 Li 1.89-2.04, 1 Cu 1.92
F (0.9241, 0.1180, 0.3201)  3 Li 1.89-2.05, 1 Cu 1.90
F (0.9241, 0.8820, 0.8201)  3 Li 1.89-2.05, 1 Cu 1.90



# LaMo2Br

An optimized crystal structure of LaMo2Br (PBEsol, Alexandria via LeMat-Bulk).

Values from the calculation:
energy	-6.8419	eV per atom
crystal system	tetragonal
volume	21.0	Å³/atom

Cell: 3.7644 3.7644 5.9340 Å, 90.00 90.00 90.00°
With the nearest neighbours (Å) after each atom.
Fractional positions:
La (0.0000, 0.0000, 0.0000)  2 Br 2.97, 8 Mo 3.24
Mo (0.5000, 0.5000, 0.3121)  1 Mo 2.23
Mo (0.5000, 0.5000, 0.6879)  1 Mo 2.23
Br (0.0000, 0.0000, 0.5000)  8 Mo 2.89, 2 La 2.97



# Ta2ReBr

An optimized crystal structure of Ta2ReBr (PBEsol, Alexandria via LeMat-Bulk).

Values from the calculation:
energy	-9.1420	eV per atom
crystal system	cubic
volume	16.9	Å³/atom

Cell: 4.5753 4.5753 4.5753 Å, 60.00 60.00 60.00°
With the nearest neighbours (Å) after each atom.
Fractional positions:
Ta (0.0000, 0.0000, 0.0000)  4 Ta 2.80, 4 Br 2.80
Ta (0.2500, 0.2500, 0.2500)  4 Re 2.80, 4 Ta 2.80
Re (0.5000, 0.5000, 0.5000)  4 Ta 2.80, 4 Br 2.80
Br (0.7500, 0.7500, 0.7500)  4 Ta 2.80, 4 Re 2.80



# InSiAu2

An optimized crystal structure of InSiAu2 (PBEsol, Alexandria via LeMat-Bulk).

Values from the calculation:
energy	-4.0405	eV per atom
crystal system	orthorhombic
volume	18.1	Å³/atom

Cell: 5.1909 5.1909 5.1909 Å, 138.38 127.28 69.31°
With the nearest neighbours (Å) after each atom.
Fractional positions:
In (0.0000, 0.0000, 0.0000)  4 Si 2.89-3.08, 8 Au 2.94-3.04
Si (0.7388, 0.2388, 0.5000)  2 Au 2.58
Au (0.2684, 0.7684, 0.5000)  4 Au 2.88-3.09, 4 In 2.94-3.04, 4 Si 2.96
Au (0.5270, 0.5270, 0.0000)  2 Si 2.58, 2 Au 2.88



# Ba3SrIr2O9

An optimized crystal structure of Ba3SrIr2O9 (PBEsol, Alexandria via LeMat-Bulk).

Values from the calculation:
energy	-6.9454	eV per atom
crystal system	monoclinic
volume	15.3	Å³/atom

Cell: 5.9452 5.9452 14.9020 Å, 91.54 91.54 119.34°
With the nearest neighbours (Å) after each atom.
Fractional positions:
Ba (0.0111, 0.9889, 0.7500)  8 O 2.69-3.01
Ba (0.3242, 0.6577, 0.4100)  7 O 2.77-3.08
Ba (0.3423, 0.6758, 0.0900)  7 O 2.77-3.08
Ba (0.6577, 0.3242, 0.9100)  7 O 2.77-3.08
Ba (0.6758, 0.3423, 0.5900)  7 O 2.77-3.08
Ba (0.9889, 0.0111, 0.2500)  8 O 2.69-3.01
Sr (0.0000, 0.0000, 0.0000)  6 O 2.34-2.37
Sr (0.0000, 0.0000, 0.5000)  6 O 2.34-2.37
Ir (0.3129, 0.6401, 0.8341)  6 O 1.92-2.04
Ir (0.3599, 0.6871, 0.6659)  6 O 1.92-2.04
Ir (0.6401, 0.3129, 0.3341)  6 O 1.92-2.04
Ir (0.6871, 0.3599, 0.1659)  6 O 1.92-2.04
O (0.0317, 0.5069, 0.7342)  2 Ir 2.03
O (0.1347, 0.7740, 0.9047)  1 Ir 1.93
O (0.1384, 0.3191, 0.8935)  1 Ir 1.92
O (0.2260, 0.8653, 0.5953)  1 Ir 1.93
O (0.2293, 0.4134, 0.5745)  1 Ir 1.92
O (0.3191, 0.1384, 0.3935)  1 Ir 1.92
O (0.4134, 0.2293, 0.0745)  1 Ir 1.92
O (0.4926, 0.5074, 0.7500)  2 Ir 2.04
O (0.4931, 0.9683, 0.7658)  2 Ir 2.03
O (0.5069, 0.0317, 0.2342)  2 Ir 2.03
O (0.5074, 0.4926, 0.2500)  2 Ir 2.04
O (0.5866, 0.7707, 0.9255)  1 Ir 1.92
O (0.6809, 0.8616, 0.6065)  1 Ir 1.92
O (0.7707, 0.5866, 0.4255)  1 Ir 1.92
O (0.7740, 0.1347, 0.4047)  1 Ir 1.93
O (0.8616, 0.6809, 0.1065)  1 Ir 1.92
O (0.8653, 0.2260, 0.0953)  1 Ir 1.93
O (0.9683, 0.4931, 0.2658)  2 Ir 2.03



# CoNiTe4

An optimized crystal structure of CoNiTe4 (PBEsol, Alexandria via LeMat-Bulk).

Values from the calculation:
energy	-4.9041	eV per atom
crystal system	monoclinic
volume	20.4	Å³/atom

Cell: 6.2609 6.2581 6.2466 Å, 90.00 90.80 90.00°
With the nearest neighbours (Å) after each atom.
Fractional positions:
Co (0.0000, 0.0000, 0.0000)  6 Te 2.53-2.56
Co (0.0000, 0.5000, 0.5000)  6 Te 2.53-2.56
Ni (0.5000, 0.0000, 0.5000)  6 Te 2.59-2.63
Ni (0.5000, 0.5000, 0.0000)  6 Te 2.59-2.63
Te (0.1317, 0.1386, 0.6404)  2 Co 2.56, 1 Ni 2.63
Te (0.1317, 0.3614, 0.1404)  2 Co 2.56, 1 Ni 2.63
Te (0.3598, 0.6343, 0.6321)  1 Co 2.53, 2 Ni 2.59
Te (0.3598, 0.8657, 0.1321)  1 Co 2.53, 2 Ni 2.59
Te (0.6402, 0.1343, 0.8679)  1 Co 2.53, 2 Ni 2.59
Te (0.6402, 0.3657, 0.3679)  1 Co 2.53, 2 Ni 2.59
Te (0.8683, 0.6386, 0.8596)  2 Co 2.56, 1 Ni 2.63
Te (0.8683, 0.8614, 0.3596)  2 Co 2.56, 1 Ni 2.63



# Tl2CrSe

An optimized crystal structure of Tl2CrSe (PBEsol, Alexandria via LeMat-Bulk).

Values from the calculation:
energy	-4.5507	eV per atom
crystal system	tetragonal
volume	23.4	Å³/atom

Cell: 6.1728 6.1728 6.1728 Å, 140.72 140.72 56.76°
With the nearest neighbours (Å) after each atom.
Fractional positions:
Tl (0.2500, 0.7500, 0.5000)  4 Tl 2.93
Tl (0.7500, 0.2500, 0.5000)  4 Tl 2.93
Cr (0.0000, 0.0000, 0.0000)  4 Se 2.93
Se (0.5000, 0.5000, 0.0000)  4 Cr 2.93



# RbTl2Se2

An optimized crystal structure of RbTl2Se2 (PBEsol, Alexandria via LeMat-Bulk).

Values from the calculation:
energy	-3.3000	eV per atom
crystal system	tetragonal
volume	30.9	Å³/atom

Cell: 6.4066 6.4066 6.4066 Å, 129.10 129.10 74.85°
With the nearest neighbours (Å) after each atom.
Fractional positions:
Rb (0.0000, 0.0000, 0.0000)  2 Tl 3.57, 8 Se 3.75
Tl (0.3511, 0.3511, 0.0000)  4 Se 2.94, 1 Tl 3.03
Tl (0.6489, 0.6489, 0.0000)  4 Se 2.94, 1 Tl 3.03
Se (0.2500, 0.7500, 0.5000)  4 Tl 2.94
Se (0.7500, 0.2500, 0.5000)  4 Tl 2.94